Model A:
DFT (PBE) results for crystalline Ta2TiMo2 at its relaxed geometry.

Values from the calculation:
spin magnetization	0.00	μB per cell
crystal system	orthorhombic

abc: 5.0652 7.1206 6.6988
angles: 122.11 112.21 90.00
Element x y z (fractional)
Ti 0.7500 0.5000 0.0000
Ti 0.2500 0.5000 0.0000
Mo 0.7912 0.9554 0.5824
Mo 0.2912 0.6270 0.5824
Mo 0.7088 0.3730 0.4176
Mo 0.2088 0.0446 0.4176
Ta 0.4200 0.0749 0.8401
Ta 0.9200 0.7651 0.8401
Ta 0.5800 0.9251 0.1599
Ta 0.0800 0.2349 0.1599


Model B:
DFT (PBE) results for crystalline Ta2TiMo2 at its relaxed geometry.

Values from the calculation:
spin magnetization	0.00	μB per cell
crystal system	orthorhombic

abc: 4.9841 5.3090 7.2687
angles: 111.42 90.00 90.00
Element x y z (fractional)
Mo 0.2500 0.1079 0.7067
Mo 0.7500 0.4012 0.2933
Mo 0.2500 0.5988 0.7067
Mo 0.7500 0.8921 0.2933
Ta 0.7500 0.8155 0.6310
Ta 0.2500 0.1845 0.3690
Ta 0.2500 0.5671 0.1342
Ta 0.7500 0.4329 0.8658
Ti 0.5000 0.0000 0.0000
Ti 0.0000 0.0000 0.0000


We find model B to be the most stable, with the next structure 99 meV/atom higher.